# 1
This record from OQMD via LeMat-Bulk describes an optimized crystal structure of ZnSi4As2H36C12. The functional is GGA-PBE.

a = 9.644 Å, b = 10.795 Å, c = 12.245 Å
α = 92.86°, β = 105.07°, γ = 105.39°
Element x y z (fractional)
Zn 0.015 0.381 0.094
Zn 0.985 0.619 0.906
Si 0.144 0.329 0.847
Si 0.148 0.811 0.713
Si 0.269 0.322 0.340
Si 0.278 0.806 0.206
Si 0.722 0.194 0.794
Si 0.731 0.678 0.660
Si 0.852 0.189 0.287
Si 0.856 0.671 0.153
As 0.046 0.204 0.199
As 0.069 0.625 0.117
As 0.931 0.375 0.883
As 0.954 0.796 0.801
H 0.039 0.205 0.651
H 0.043 0.920 0.549
H 0.050 0.632 0.550
H 0.079 0.374 0.643
H 0.100 0.094 0.873
H 0.143 0.580 0.676
H 0.153 0.978 0.144
H 0.157 0.035 0.669
H 0.188 0.194 0.006
H 0.198 0.452 0.481
H 0.210 0.878 0.377
H 0.213 0.533 0.360
H 0.228 0.301 0.674
H 0.233 0.929 0.040
H 0.242 0.960 0.582
H 0.244 0.179 0.493
H 0.249 0.681 0.599
H 0.285 0.564 0.871
H 0.295 0.180 0.909
H 0.301 0.756 0.407
H 0.321 0.500 0.003
H 0.336 0.123 0.402
H 0.337 0.787 0.890
H 0.343 0.952 0.883
H 0.350 0.034 0.165
H 0.378 0.531 0.467
H 0.385 0.438 0.200
H 0.407 0.917 0.402
H 0.409 0.466 0.899
H 0.423 0.287 0.210
H 0.424 0.875 0.796
H 0.436 0.259 0.508
H 0.438 0.745 0.095
H 0.451 0.154 0.775
H 0.464 0.679 0.227
H 0.474 0.581 0.681
H 0.526 0.419 0.319
H 0.536 0.321 0.773
H 0.549 0.846 0.225
H 0.562 0.255 0.905
H 0.564 0.741 0.492
H 0.576 0.125 0.204
H 0.577 0.713 0.790
H 0.591 0.534 0.101
H 0.593 0.083 0.598
H 0.615 0.562 0.800
H 0.622 0.469 0.533
H 0.650 0.966 0.835
H 0.657 0.048 0.117
H 0.663 0.213 0.110
H 0.664 0.877 0.598
H 0.679 0.500 0.997
H 0.699 0.244 0.593
H 0.705 0.820 0.091
H 0.715 0.436 0.129
H 0.751 0.319 0.401
H 0.756 0.821 0.507
H 0.758 0.040 0.418
H 0.767 0.071 0.960
H 0.772 0.699 0.326
H 0.787 0.467 0.640
H 0.790 0.122 0.623
H 0.802 0.548 0.519
H 0.812 0.806 0.994
H 0.843 0.965 0.331
H 0.847 0.022 0.856
H 0.857 0.420 0.324
H 0.900 0.906 0.127
H 0.921 0.626 0.357
H 0.950 0.368 0.450
H 0.957 0.080 0.451
H 0.961 0.795 0.349
C 0.119 0.300 0.689
C 0.146 0.661 0.626
C 0.147 0.944 0.620
C 0.185 0.186 0.915
C 0.250 0.949 0.132
C 0.263 0.473 0.419
C 0.300 0.842 0.363
C 0.304 0.479 0.911
C 0.327 0.211 0.446
C 0.329 0.861 0.832
C 0.414 0.370 0.260
C 0.448 0.764 0.186
C 0.552 0.236 0.814
C 0.586 0.630 0.740
C 0.671 0.139 0.168
C 0.673 0.789 0.554
C 0.696 0.521 0.089
C 0.700 0.158 0.637
C 0.737 0.527 0.581
C 0.750 0.051 0.868
C 0.815 0.814 0.085
C 0.853 0.056 0.380
C 0.854 0.339 0.374
C 0.881 0.700 0.311

Values from the calculation:
As for the crystal system: triclinic. The space-group type is No. 2.


# 2
This record from OQMD via LeMat-Bulk describes an optimized crystal structure of Hf6As2C. The functional is GGA-PBE.

a = 7.311 Å, b = 7.311 Å, c = 3.453 Å
α = 90.00°, β = 90.00°, γ = 120.00°
Element x y z (fractional)
Hf 0.000 0.237 0.000
Hf 0.000 0.587 0.500
Hf 0.237 0.000 0.000
Hf 0.413 0.413 0.500
Hf 0.587 0.000 0.500
Hf 0.763 0.763 0.000
As 0.333 0.667 0.000
As 0.667 0.333 0.000
C 0.000 0.000 0.500

Values from the calculation:
As for the crystal system: hexagonal. The space-group type is No. 189.


# 3
This record from OQMD via LeMat-Bulk describes an optimized crystal structure of HfAs2C. The functional is GGA-PBE.

a = 3.147 Å, b = 3.147 Å, c = 14.237 Å
α = 90.00°, β = 90.00°, γ = 120.00°
Element x y z (fractional)
Hf 0.333 0.667 0.250
Hf 0.667 0.333 0.750
As 0.333 0.667 0.595
As 0.333 0.667 0.905
As 0.667 0.333 0.095
As 0.667 0.333 0.405
C 0.000 0.000 0.000
C 0.000 0.000 0.500

Values from the calculation:
As for the crystal system: hexagonal. The space-group type is No. 194.


# 4
This record from OQMD via LeMat-Bulk describes an optimized crystal structure of Hf4HgAsC2. The functional is GGA-PBE.

a = 3.362 Å, b = 3.362 Å, c = 13.660 Å
α = 90.00°, β = 90.00°, γ = 120.00°
Element x y z (fractional)
Hf 0.000 0.000 0.142
Hf 0.000 0.000 0.858
Hf 0.667 0.333 0.323
Hf 0.667 0.333 0.677
Hg 0.000 0.000 0.500
As 0.667 0.333 0.000
C 0.333 0.667 0.234
C 0.333 0.667 0.766

Values from the calculation:
As for the crystal system: hexagonal. The space-group type is No. 187.


# 5
This record from OQMD via LeMat-Bulk describes an optimized crystal structure of Hf4InAsC2. The functional is GGA-PBE.

a = 3.367 Å, b = 3.367 Å, c = 13.751 Å
α = 90.00°, β = 90.00°, γ = 120.00°
Element x y z (fractional)
Hf 0.000 0.000 0.141
Hf 0.000 0.000 0.859
Hf 0.667 0.333 0.319
Hf 0.667 0.333 0.681
In 0.000 0.000 0.500
As 0.667 0.333 0.000
C 0.333 0.667 0.232
C 0.333 0.667 0.768

Values from the calculation:
As for the crystal system: hexagonal. The space-group type is No. 187.


# 6
This record from OQMD via LeMat-Bulk describes an optimized crystal structure of Lu4Hf2As3C3. The functional is GGA-PBE.

a = 6.129 Å, b = 6.129 Å, c = 13.519 Å
α = 103.22°, β = 103.22°, γ = 60.14°
Element x y z (fractional)
Lu 0.037 0.199 0.103
Lu 0.129 0.299 0.397
Lu 0.199 0.037 0.603
Lu 0.299 0.129 0.897
Lu 0.701 0.871 0.103
Lu 0.801 0.963 0.397
Lu 0.871 0.701 0.603
Lu 0.963 0.801 0.897
Hf 0.361 0.530 0.091
Hf 0.470 0.639 0.409
Hf 0.530 0.361 0.591
Hf 0.639 0.470 0.909
As 0.102 0.898 0.250
As 0.269 0.417 0.751
As 0.417 0.269 0.251
As 0.583 0.731 0.749
As 0.731 0.583 0.249
As 0.898 0.102 0.750
C 0.000 0.500 0.000
C 0.191 0.654 0.500
C 0.346 0.809 0.000
C 0.500 0.000 0.500
C 0.654 0.191 0.000
C 0.809 0.346 0.500

Values from the calculation:
As for the crystal system: monoclinic. The space-group type is No. 15.


# 7
This record from OQMD via LeMat-Bulk describes an optimized crystal structure of Hf3AsCN. The functional is GGA-PBE.

a = 3.364 Å, b = 3.364 Å, c = 17.589 Å
α = 90.00°, β = 90.00°, γ = 120.00°
Element x y z (fractional)
Hf 0.000 0.000 0.000
Hf 0.000 0.000 0.500
Hf 0.333 0.667 0.140
Hf 0.333 0.667 0.357
Hf 0.667 0.333 0.643
Hf 0.667 0.333 0.860
As 0.000 0.000 0.246
As 0.000 0.000 0.754
C 0.333 0.667 0.577
C 0.667 0.333 0.423
N 0.333 0.667 0.927
N 0.667 0.333 0.073

Values from the calculation:
As for the crystal system: trigonal. The space-group type is No. 164.


# 8
This record from OQMD via LeMat-Bulk describes an optimized crystal structure of HfNb3As2C2. The functional is GGA-PBE.

a = 3.356 Å, b = 3.356 Å, c = 12.173 Å
α = 90.00°, β = 90.00°, γ = 120.00°
Element x y z (fractional)
Hf 0.000 0.000 0.000
Nb 0.000 0.000 0.689
Nb 0.333 0.667 0.195
Nb 0.333 0.667 0.501
As 0.000 0.000 0.348
As 0.333 0.667 0.839
C 0.667 0.333 0.099
C 0.667 0.333 0.595

Values from the calculation:
As for the crystal system: trigonal. The space-group type is No. 156.


no.,calculated density (g cm⁻³),calculated total energy (eV/atom)
1,1.4,-5.017
2,12.8,-9.280
3,9.3,-6.435
4,12.6,-8.693
5,11.4,-9.044
6,10.3,-7.509
7,12.3,-9.869
8,8.8,-9.229